{"formula": "ZrAlNi6", "functional": "GGA-PBE", "state": "relaxed", "formation_energy_ev_per_fu": -0.3, "polymorph_energy_ev_per_atom": 0.388, "crystal_system": "tetragonal", "cell": [[3.341, 0.000, 0.000], [0.000, 3.341, 0.000], [0.000, 0.000, 9.869]], "species": ["Zr", "Al", "Ni", "Ni", "Ni", "Ni", "Ni", "Ni"], "fractional_positions": [[0.000, 0.000, 0.000], [0.000, 0.000, 0.500], [0.000, 0.500, 0.208], [0.000, 0.500, 0.792], [0.500, 0.000, 0.208], [0.500, 0.000, 0.792], [0.500, 0.500, 0.385], [0.500, 0.500, 0.615]]}

=====

{"formula": "PmDy5Er2Sc", "functional": "GGA-PBE", "state": "relaxed", "formation_energy_ev_per_fu": 1.5, "crystal_system": "orthorhombic", "cell": [[2.773, -9.844, 0.000], [2.773, 9.844, 0.000], [0.000, 0.000, 10.362]], "species": ["Pm", "Pm", "Dy", "Dy", "Dy", "Dy", "Dy", "Dy", "Dy", "Dy", "Dy", "Dy", "Er", "Er", "Er", "Er", "Sc", "Sc"], "fractional_positions": [[0.087, 0.913, 0.500], [0.913, 0.087, 0.000], [0.019, 0.981, 0.785], [0.123, 0.877, 0.067], [0.201, 0.799, 0.752], [0.223, 0.777, 0.367], [0.482, 0.518, 0.065], [0.518, 0.482, 0.565], [0.777, 0.223, 0.867], [0.799, 0.201, 0.252], [0.877, 0.123, 0.567], [0.981, 0.019, 0.285], [0.386, 0.614, 0.782], [0.388, 0.612, 0.360], [0.612, 0.388, 0.860], [0.614, 0.386, 0.282], [0.304, 0.696, 0.061], [0.696, 0.304, 0.561]]}

=====

{"formula": "LaAlCo", "functional": "GGA-PBE", "state": "relaxed", "formation_energy_ev_per_fu": 2.3, "crystal_system": "cubic", "cell": [[0.000, 3.386, 3.386], [3.386, 0.000, 3.386], [3.386, 3.386, 0.000]], "species": ["La", "Al", "Co"], "fractional_positions": [[0.000, 0.000, 0.000], [0.750, 0.750, 0.750], [0.250, 0.250, 0.250]]}

=====

{"formula": "Sm3Ga3Pt8", "functional": "GGA-PBE", "state": "relaxed", "formation_energy_ev_per_fu": -13.6, "crystal_system": "monoclinic", "cell": [[7.968, -2.213, 0.000], [7.968, 2.213, 0.000], [-4.954, 0.000, 7.532]], "species": ["Sm", "Sm", "Sm", "Ga", "Ga", "Ga", "Pt", "Pt", "Pt", "Pt", "Pt", "Pt", "Pt", "Pt"], "fractional_positions": [[0.000, 0.000, 0.000], [0.296, 0.296, 0.326], [0.704, 0.704, 0.674], [0.000, 0.000, 0.500], [0.325, 0.325, 0.992], [0.675, 0.675, 0.008], [0.121, 0.121, 0.398], [0.130, 0.130, 0.840], [0.346, 0.346, 0.739], [0.496, 0.496, 0.321], [0.504, 0.504, 0.679], [0.654, 0.654, 0.261], [0.870, 0.870, 0.160], [0.879, 0.879, 0.602]]}

=====

{"formula": "TbPr6Y3Tm2", "functional": "GGA-PBE", "state": "relaxed", "formation_energy_ev_per_fu": 0.1, "crystal_system": "monoclinic", "cell": [[3.154, -5.463, 0.000], [3.154, 5.463, 0.000], [-2.099, 0.000, 11.691]], "species": ["Tb", "Pr", "Pr", "Pr", "Pr", "Pr", "Pr", "Y", "Y", "Y", "Tm", "Tm"], "fractional_positions": [[0.000, 0.000, 0.000], [0.083, 0.417, 0.248], [0.251, 0.251, 0.752], [0.417, 0.083, 0.248], [0.583, 0.917, 0.752], [0.749, 0.749, 0.248], [0.917, 0.583, 0.752], [0.167, 0.833, 0.500], [0.500, 0.500, 0.500], [0.833, 0.167, 0.500], [0.333, 0.667, 0.000], [0.667, 0.333, 0.000]]}

=====

{"formula": "NpVOs2", "functional": "GGA-PBE", "state": "relaxed", "formation_energy_ev_per_fu": 0.8, "polymorph_energy_ev_per_atom": 0.265, "crystal_system": "trigonal", "cell": [[2.245, 1.296, 3.803], [-2.245, 1.296, 3.803], [0.000, -2.593, 3.803]], "species": ["Np", "V", "Os", "Os"], "fractional_positions": [[0.000, 0.000, 0.000], [0.500, 0.500, 0.500], [0.239, 0.239, 0.239], [0.761, 0.761, 0.761]]}

=====

{"formula": "Sr2LaCl", "functional": "GGA-PBE", "state": "relaxed", "formation_energy_uncorrected_mev_per_atom": -290, "polymorph_energy_ev_per_atom": 0.509, "crystal_system": "orthorhombic", "cell": [[4.047, 0.000, 0.000], [0.000, 5.908, 0.000], [0.000, 0.000, 6.809]], "species": ["Sr", "Sr", "La", "Cl"], "fractional_positions": [[0.000, 0.000, 0.000], [0.500, 0.000, 0.500], [0.000, 0.500, 0.500], [0.500, 0.500, 0.000]]}

=====

{"formula": "Cs2Tl2CdBr6", "functional": "GGA-PBE", "state": "relaxed", "formation_energy_uncorrected_mev_per_atom": -1173, "crystal_system": "monoclinic", "cell": [[4.495, -7.101, 0.000], [4.495, 7.101, 0.000], [-2.636, 0.000, 7.360]], "species": ["Cs", "Cs", "Tl", "Tl", "Cd", "Br", "Br", "Br", "Br", "Br", "Br"], "fractional_positions": [[0.156, 0.844, 0.000], [0.844, 0.156, 0.000], [0.330, 0.670, 0.500], [0.670, 0.330, 0.500], [0.500, 0.500, 0.000], [0.157, 0.435, 0.776], [0.322, 0.322, 0.242], [0.435, 0.157, 0.776], [0.565, 0.843, 0.224], [0.678, 0.678, 0.758], [0.843, 0.565, 0.224]]}

=====

{"formula": "PuAlFeNi", "functional": "GGA-PBE", "state": "relaxed", "formation_energy_ev_per_fu": -0.7, "crystal_system": "cubic", "cell": [[0.000, 3.148, 3.148], [3.148, 0.000, 3.148], [3.148, 3.148, 0.000]], "species": ["Pu", "Al", "Fe", "Ni"], "fractional_positions": [[0.000, 0.000, 0.000], [0.500, 0.500, 0.500], [0.750, 0.750, 0.750], [0.250, 0.250, 0.250]]}

=====

{"formula": "TeAs2Cl", "functional": "GGA-PBE", "state": "relaxed", "formation_energy_uncorrected_mev_per_atom": 64, "polymorph_energy_ev_per_atom": 0.202, "crystal_system": "monoclinic", "cell": [[4.911, -1.847, 0.000], [4.911, 1.847, 0.000], [-4.147, 0.000, 6.247]], "species": ["Te", "As", "As", "Cl"], "fractional_positions": [[0.000, 0.000, 0.000], [0.210, 0.210, 0.844], [0.790, 0.790, 0.156], [0.500, 0.500, 0.500]]}

=====

{"formula": "Sr2CdIr", "functional": "GGA-PBE", "state": "relaxed", "formation_energy_ev_per_fu": 0.2, "crystal_system": "tetragonal", "cell": [[-2.332, 2.332, 4.849], [2.332, -2.332, 4.849], [2.332, 2.332, -4.849]], "species": ["Sr", "Sr", "Cd", "Ir"], "fractional_positions": [[0.000, 0.000, 0.000], [0.750, 0.250, 0.500], [0.250, 0.750, 0.500], [0.500, 0.500, 0.000]]}

=====

{"formula": "Nb4Ge", "functional": "GGA-PBE", "state": "relaxed", "formation_energy_ev_per_fu": 4.5, "polymorph_energy_ev_per_atom": 0.708, "crystal_system": "cubic", "cell": [[4.741, 0.000, 0.000], [0.000, 4.741, 0.000], [0.000, 0.000, 4.741]], "species": ["Nb", "Nb", "Nb", "Nb", "Ge"], "fractional_positions": [[0.000, 0.000, 0.000], [0.000, 0.500, 0.500], [0.500, 0.000, 0.500], [0.500, 0.500, 0.000], [0.500, 0.500, 0.500]]}

=====

{"formula": "CaEr2Au2", "functional": "GGA-PBE", "state": "relaxed", "formation_energy_ev_per_fu": -3.5, "crystal_system": "tetragonal", "cell": [[8.238, 0.000, 0.000], [0.000, 8.238, 0.000], [0.000, 0.000, 3.757]], "species": ["Ca", "Ca", "Er", "Er", "Er", "Er", "Au", "Au", "Au", "Au"], "fractional_positions": [[0.000, 0.000, 0.000], [0.500, 0.500, 0.000], [0.154, 0.346, 0.500], [0.346, 0.846, 0.500], [0.654, 0.154, 0.500], [0.846, 0.654, 0.500], [0.139, 0.639, 0.000], [0.361, 0.139, 0.000], [0.639, 0.861, 0.000], [0.861, 0.361, 0.000]]}

=====

{"formula": "RbAg2ICl8", "functional": "GGA-PBE", "state": "relaxed", "formation_energy_uncorrected_mev_per_atom": -508, "crystal_system": "triclinic", "cell": [[6.847, 0.000, 0.000], [0.176, 7.360, 0.000], [0.038, 0.039, 8.046]], "species": ["Rb", "Ag", "Ag", "I", "Cl", "Cl", "Cl", "Cl", "Cl", "Cl", "Cl", "Cl"], "fractional_positions": [[0.000, 0.000, 0.000], [0.500, 0.500, 0.252], [0.500, 0.500, 0.748], [0.000, 0.000, 0.500], [0.248, 0.875, 0.705], [0.251, 0.879, 0.294], [0.305, 0.390, 0.001], [0.307, 0.390, 0.501], [0.693, 0.610, 0.499], [0.695, 0.610, 0.999], [0.749, 0.121, 0.706], [0.752, 0.125, 0.295]]}

=====

{"formula": "SrLiRu3", "functional": "GGA-PBE", "state": "relaxed", "formation_energy_ev_per_fu": 11.9, "polymorph_energy_ev_per_atom": 1.280, "crystal_system": "cubic", "cell": [[4.983, 0.000, 0.000], [0.000, 4.983, 0.000], [0.000, 0.000, 4.983]], "species": ["Sr", "Li", "Ru", "Ru", "Ru"], "fractional_positions": [[0.000, 0.000, 0.000], [0.500, 0.500, 0.500], [0.000, 0.000, 0.500], [0.000, 0.500, 0.000], [0.500, 0.000, 0.000]]}

=====

{"formula": "LiCoAu2", "functional": "GGA-PBE", "state": "relaxed", "formation_energy_ev_per_fu": 1.0, "crystal_system": "tetragonal", "cell": [[-1.955, 1.955, 8.835], [1.955, -1.955, 8.835], [1.955, 1.955, -8.835]], "species": ["Li", "Li", "Co", "Co", "Au", "Au", "Au", "Au"], "fractional_positions": [[0.000, 0.000, 0.000], [0.750, 0.250, 0.500], [0.250, 0.750, 0.500], [0.500, 0.500, 0.000], [0.125, 0.625, 0.000], [0.375, 0.375, 0.500], [0.625, 0.125, 0.000], [0.875, 0.875, 0.500]]}

=====

{"formula": "Pm2Ni3Sn5", "functional": "GGA-PBE", "state": "relaxed", "formation_energy_ev_per_fu": -5.0, "polymorph_energy_ev_per_atom": 0.004, "crystal_system": "orthorhombic", "cell": [[2.208, -13.173, 0.000], [2.208, 13.173, 0.000], [0.000, 0.000, 7.242]], "species": ["Pm", "Pm", "Pm", "Pm", "Ni", "Ni", "Ni", "Ni", "Ni", "Ni", "Sn", "Sn", "Sn", "Sn", "Sn", "Sn", "Sn", "Sn", "Sn", "Sn"], "fractional_positions": [[0.026, 0.974, 0.500], [0.327, 0.673, 0.493], [0.673, 0.327, 0.993], [0.974, 0.026, 0.000], [0.106, 0.894, 0.759], [0.278, 0.722, 0.973], [0.450, 0.550, 0.719], [0.550, 0.450, 0.219], [0.722, 0.278, 0.473], [0.894, 0.106, 0.259], [0.093, 0.907, 0.125], [0.203, 0.797, 0.690], [0.214, 0.786, 0.271], [0.379, 0.621, 0.997], [0.451, 0.549, 0.336], [0.549, 0.451, 0.836], [0.621, 0.379, 0.497], [0.786, 0.214, 0.771], [0.797, 0.203, 0.190], [0.907, 0.093, 0.625]]}